## w
Density functional theory data (meta-GGA SCAN) for a PBEsol-optimized structure of LiIrW2.

Computed properties:
Theoretical density in kg/m³: 16540
Density of states at the Fermi level in states/eV/cell: 2.0

Unit cell a=2.712 b=3.993 c=5.256 alpha=90.00 beta=90.00 gamma=90.00
Space group Pmmm (No. 47)
One atom of each set of equivalent atoms:
Li 0.000 0.000 0.000
Ir 0.000 0.000 0.500
W 0.500 0.500 0.246

## x
Density functional theory data (meta-GGA SCAN) for a PBEsol-optimized structure of LiIrW2.

Computed properties:
Theoretical density in kg/m³: 16287
Density of states at the Fermi level in states/eV/cell: 5.3

Unit cell a=8.727 b=2.698 c=4.938 alpha=90.00 beta=96.20 gamma=90.00
Space group Cm (No. 8)
One atom of each set of equivalent atoms:
Li 0.000 0.000 0.000
Ir 0.249 0.500 0.244
W 0.244 0.000 0.769
W 0.490 0.000 0.488

Which is most stable? The ranking, best first, is w, x.